# 1
Compound: La5Nd5Cd2
Source: Alexandria via LeMat-Bulk
Functional: PBE-GGA
Structure: relaxed

The value obtained for the energy of formation from the pure elements is -1.64 kcal/mol of atoms.

The structure belongs to space group C2/m (No. 12); the cell edges are 12.5737, 5.6631 and 11.4568 Å and the angles 90.00°, 90.10° and 90.00°. Symmetry generates all atoms from La at (0.0000, 0.0000, 0.0000), La at (0.0177, 0.5000, 0.7513), La at (0.1803, 0.5000, 0.4651), Nd at (0.0000, 0.0000, 0.5000), Nd at (0.1831, 0.0000, 0.2474), Nd at (0.1835, 0.5000, 0.0366) and Cd at (0.1470, 0.0000, 0.7486).



# 2
Compound: ZnReP2
Source: Alexandria via LeMat-Bulk
Functional: PBE-GGA
Structure: relaxed

The value obtained for the energy of formation from the pure elements is 8.78 kcal/mol of atoms.

The structure belongs to space group C2/m (No. 12); the cell edges are 5.3565, 6.6774 and 3.1173 Å and the angles 90.00°, 94.56° and 90.00°. Symmetry generates all atoms from Zn at (0.0000, 0.0000, 0.0000), Re at (0.0000, 0.5000, 0.0000) and P at (0.2500, 0.2500, 0.5000).



# 3
Compound: HfScP2O
Source: Alexandria via LeMat-Bulk
Functional: PBE-GGA
Structure: relaxed

The value obtained for the excess energy over the best structure of this formula in the dataset is 0 meV/atom. The formation energy (no corrections) is -5.133 eV/f.u.

The structure belongs to space group P4/mmm (No. 123); the cell edges are 5.0479, 5.0479 and 3.9284 Å and the angles 90.00°, 90.00° and 90.00°. Symmetry generates all atoms from Hf at (0.0000, 0.0000, 0.0000), Sc at (0.5000, 0.5000, 0.5000), P at (0.0000, 0.5000, 0.0000) and O at (0.0000, 0.0000, 0.5000).



# 4
Compound: Ba3Li2Cd2Pb4
Source: Alexandria via LeMat-Bulk
Functional: PBE-GGA
Structure: relaxed

The value obtained for the energy of formation from the pure elements is -7.74 kcal/mol of atoms.

The structure belongs to space group P-3m1 (No. 164); the cell edges are 5.3944, 5.3944 and 14.1446 Å and the angles 90.00°, 90.00° and 120.00°. Symmetry generates all atoms from Ba at (0.0000, 0.0000, 0.0000), Ba at (0.0000, 0.0000, 0.3167), Li at (0.3333, 0.6667, 0.6478), Cd at (0.3333, 0.6667, 0.1839), Pb at (0.3333, 0.6667, 0.4559) and Pb at (0.3333, 0.6667, 0.8514).



| no. | Fermi-level density of states (states/eV/f.u.) |
| --- | --- |
| 1 | 16.90 |
| 2 | 2.43 |
| 3 | 4.71 |
| 4 | 4.40 |